Entry from Alexandria via LeMat-Bulk: crystalline Ta3VZn at its relaxed geometry (GGA-PBE).

The structure in POSCAR format:
```
Ta3VZn
1.0
4.636 0.000 0.000
0.000 4.636 0.000
0.000 0.000 4.636
Zn Ta V
1 3 1
Cartesian
2.318 2.318 2.318 Zn
0.000 2.318 0.000 Ta
0.000 0.000 2.318 Ta
2.318 0.000 0.000 Ta
0.000 0.000 0.000 V
```

Output
- excess energy over the best structure of this formula in the dataset (meV/atom) = 0
- space-group type = Pm-3m

=====

Entry from Alexandria via LeMat-Bulk: crystalline SrLiHoPb at its relaxed geometry (GGA-PBE).

The structure in POSCAR format:
```
SrLiHoPb
1.0
-3.833 -2.618 -2.989
1.093 -1.477 -5.207
0.661 -5.331 -1.277
Pb Sr Ho Li
1 1 1 1
Cartesian
-1.040 -4.713 -4.737 Pb
-0.520 -2.356 -2.368 Sr
-1.559 -7.069 -7.105 Ho
0.000 0.000 0.000 Li
```

Output
- space-group type = F-43m
- VASP energy (eV per atom) = -3.21

=====

Entry from Alexandria via LeMat-Bulk: crystalline Tl2Ir at its relaxed geometry (GGA-PBE).

The structure in POSCAR format:
```
Tl2Ir
1.0
3.221 0.000 0.000
0.000 7.036 0.000
0.000 0.000 7.022
Tl Ir
4 2
Cartesian
0.000 1.919 5.117 Tl
0.000 5.116 1.904 Tl
1.611 5.437 5.415 Tl
1.611 1.599 1.607 Tl
0.000 0.000 0.000 Ir
1.611 3.518 3.511 Ir
```

Output
- space-group type = Pnnm
- VASP energy (eV per atom) = -4.23

=====

Entry from Alexandria via LeMat-Bulk: crystalline Er4Te2PtS at its relaxed geometry (GGA-PBE).

The structure in POSCAR format:
```
Er4Te2PtS
1.0
4.057 0.000 0.000
0.000 7.282 0.159
0.000 -2.514 6.960
Er Te Pt S
4 2 1 1
Cartesian
2.029 1.200 1.521 Er
2.029 3.567 5.598 Er
0.000 0.001 5.562 Er
0.000 4.766 1.557 Er
2.029 -1.257 3.480 Te
0.000 2.384 3.560 Te
2.029 3.641 0.079 Pt
0.000 0.000 0.000 S
```

Output
- formation energy from raw total energies (meV per atom) = -1437.2
- space-group type = P2/m

=====

Entry from Alexandria via LeMat-Bulk: crystalline Ho4GaAg2 at its relaxed geometry (GGA-PBE).

The structure in POSCAR format:
```
Ho4GaAg2
1.0
7.713 -1.345 -0.164
-1.898 7.597 0.163
-2.779 -3.246 6.562
Ho Ga Ag
8 2 4
Cartesian
6.139 -0.606 2.294 Ho
1.211 2.514 1.582 Ho
3.889 1.490 4.104 Ho
3.987 -2.985 4.031 Ho
1.669 -0.828 2.365 Ho
-0.360 -1.855 4.979 Ho
0.554 1.678 5.024 Ho
4.670 3.678 1.536 Ho
-0.884 3.739 3.363 Ga
3.035 3.007 6.561 Ga
2.479 -0.848 5.467 Ag
2.012 5.417 1.093 Ag
3.853 0.789 0.970 Ag
-2.269 0.655 5.592 Ag
```

Output
- excess energy over the best structure of this formula in the dataset (meV/atom) = 35
- space-group type = I2_12_12_1

=====

Entry from Alexandria via LeMat-Bulk: crystalline Cu2SiTc at its relaxed geometry (GGA-PBE).

The structure in POSCAR format:
```
Cu2SiTc
1.0
-3.682 3.020 0.051
1.210 -1.780 -4.247
-1.605 -1.963 0.365
Cu Si Tc
2 1 1
Cartesian
0.000 0.000 0.000 Cu
-1.236 0.620 -2.098 Cu
-2.643 0.528 0.208 Si
-0.197 -1.871 -1.941 Tc
```

Output
- formation energy from raw total energies (meV per atom) = 65.9
- space-group type = Cmmm

=====

Entry from Alexandria via LeMat-Bulk: crystalline MgTl3Se4 at its relaxed geometry (GGA-PBE).

The structure in POSCAR format:
```
MgTl3Se4
1.0
-6.210 2.422 -1.222
0.361 -2.289 -6.369
0.517 -5.351 5.558
Mg Tl Se
1 3 4
Cartesian
0.000 0.000 0.000 Mg
-2.925 0.067 -3.795 Tl
-4.309 -1.431 0.270 Tl
-1.024 -3.786 -2.303 Tl
-1.896 -1.315 -1.217 Se
-5.179 -1.240 -5.477 Se
0.048 -5.262 -0.130 Se
-3.639 -2.618 2.758 Se
```

Output
- formation energy from raw total energies (meV per atom) = -424.7
- space-group type = I-42m

=====

Entry from Alexandria via LeMat-Bulk: crystalline Li8AlHg2 at its relaxed geometry (GGA-PBE).

The structure in POSCAR format:
```
Li8AlHg2
1.0
-3.747 0.604 -2.719
-2.969 -6.503 -2.582
-5.294 -3.569 3.888
Li Al Hg
8 1 2
Cartesian
-4.722 -0.823 -1.733 Li
-8.311 -4.250 -0.164 Li
-2.329 -2.328 -1.855 Li
-6.470 -6.336 -1.729 Li
-5.539 -3.131 0.315 Li
-4.388 -3.571 -3.446 Li
-3.699 -5.218 -1.250 Li
-7.287 -8.644 0.319 Li
-1.874 0.302 -1.360 Al
-2.894 -3.369 0.625 Hg
-5.369 -6.703 0.680 Hg
```

Output
- excess energy over the best structure of this formula in the dataset (meV/atom) = 66
- space-group type = C2/m